No. 1
The following is a PBE calculation of crystalline Sm6RuPb3 at its relaxed geometry, from the Alexandria database. Values from VASP.

Summary:
Formation energy = -361 meV/atom
Energy = -5.23 eV/atom
Symmetry = P2_1/c, No. 14

The structure in Quantum ESPRESSO input format:
```
&SYSTEM
  ibrav = 0, nat = 20, ntyp = 3
/
ATOMIC_SPECIES
Sm 150.36 Sm.upf
Pb 207.20 Pb.upf
Ru 101.07 Ru.upf
CELL_PARAMETERS angstrom
6.2456 0.0000 0.1285
0.0000 8.9373 0.0000
0.1853 0.0000 11.0733
ATOMIC_POSITIONS crystal
Sm 0.3828 0.8453 0.0592
Pb 0.5990 0.8837 0.7376
Sm 0.3697 0.5454 0.7308
Pb 0.9010 0.3837 0.7624
Sm 0.8697 0.9546 0.2308
Sm 0.0945 0.3011 0.0611
Sm 0.5945 0.1989 0.5611
Ru 0.0000 0.0000 0.0000
Pb 0.0000 0.0000 0.5000
Sm 0.9055 0.6989 0.9389
Sm 0.1303 0.0454 0.7692
Sm 0.4055 0.8011 0.4389
Sm 0.8828 0.6547 0.5592
Ru 0.5000 0.5000 0.5000
Sm 0.6172 0.1547 0.9408
Pb 0.0990 0.6163 0.2376
Sm 0.1172 0.3453 0.4408
Pb 0.4010 0.1163 0.2624
Sm 0.6303 0.4546 0.2692
Pb 0.5000 0.5000 0.0000
```


No. 2
The following is a PBE calculation of crystalline Pr2Nd3Sm6Mg at its relaxed geometry, from the Alexandria database. Values from VASP.

Summary:
Formation energy = 17 meV/atom
Energy = -4.46 eV/atom
Symmetry = C2/m, No. 12

The structure in Quantum ESPRESSO input format:
```
&SYSTEM
  ibrav = 0, nat = 12, ntyp = 4
/
ATOMIC_SPECIES
Sm 150.36 Sm.upf
Pr 140.91 Pr.upf
Mg 24.30 Mg.upf
Nd 144.24 Nd.upf
CELL_PARAMETERS angstrom
-4.3347 3.6844 2.6600
0.0577 -6.1622 1.2102
8.6688 2.7050 7.8918
ATOMIC_POSITIONS crystal
Sm 0.5874 0.9179 0.7516
Sm 0.2480 0.2480 0.7503
Sm 0.7520 0.7520 0.2497
Pr 0.3330 0.6670 0.0000
Sm 0.9179 0.5874 0.7516
Sm 0.0821 0.4126 0.2484
Mg 0.0000 0.0000 0.0000
Nd 0.5000 0.5000 0.5000
Pr 0.6670 0.3330 0.0000
Nd 0.8334 0.1666 0.5000
Nd 0.1666 0.8334 0.5000
Sm 0.4126 0.0821 0.2484
```


No. 3
The following is a PBE calculation of crystalline PaTeP at its relaxed geometry, from the Alexandria database. Values from VASP.

Summary:
Energy = -6.69 eV/atom
Symmetry = P-6m2, No. 187
Formation energy from raw total energies = -677 meV/atom

The structure in Quantum ESPRESSO input format:
```
&SYSTEM
  ibrav = 0, nat = 3, ntyp = 3
/
ATOMIC_SPECIES
Te 127.60 Te.upf
P 30.97 P.upf
Pa 231.04 Pa.upf
CELL_PARAMETERS angstrom
-3.2058 2.7021 -0.3957
-1.2576 -0.8582 4.3283
2.9641 3.3848 -0.8996
ATOMIC_POSITIONS crystal
Te 0.6667 0.6667 0.3333
P 0.1667 0.3333 0.6667
Pa 0.1666 0.0000 0.0000
```


Repeat the first record exactly.
The following is a PBE calculation of crystalline Sm6RuPb3 at its relaxed geometry, from the Alexandria database. Values from VASP.

Summary:
Formation energy = -361 meV/atom
Energy = -5.23 eV/atom
Symmetry = P2_1/c, No. 14

The structure in Quantum ESPRESSO input format:
```
&SYSTEM
  ibrav = 0, nat = 20, ntyp = 3
/
ATOMIC_SPECIES
Sm 150.36 Sm.upf
Pb 207.20 Pb.upf
Ru 101.07 Ru.upf
CELL_PARAMETERS angstrom
6.2456 0.0000 0.1285
0.0000 8.9373 0.0000
0.1853 0.0000 11.0733
ATOMIC_POSITIONS crystal
Sm 0.3828 0.8453 0.0592
Pb 0.5990 0.8837 0.7376
Sm 0.3697 0.5454 0.7308
Pb 0.9010 0.3837 0.7624
Sm 0.8697 0.9546 0.2308
Sm 0.0945 0.3011 0.0611
Sm 0.5945 0.1989 0.5611
Ru 0.0000 0.0000 0.0000
Pb 0.0000 0.0000 0.5000
Sm 0.9055 0.6989 0.9389
Sm 0.1303 0.0454 0.7692
Sm 0.4055 0.8011 0.4389
Sm 0.8828 0.6547 0.5592
Ru 0.5000 0.5000 0.5000
Sm 0.6172 0.1547 0.9408
Pb 0.0990 0.6163 0.2376
Sm 0.1172 0.3453 0.4408
Pb 0.4010 0.1163 0.2624
Sm 0.6303 0.4546 0.2692
Pb 0.5000 0.5000 0.0000
```


Question: Look up the energy of the first one.
Answer: -5.23 eV/atom


Copy entry 2 word for word.
The following is a PBE calculation of crystalline Pr2Nd3Sm6Mg at its relaxed geometry, from the Alexandria database. Values from VASP.

Summary:
Formation energy = 17 meV/atom
Energy = -4.46 eV/atom
Symmetry = C2/m, No. 12

The structure in Quantum ESPRESSO input format:
```
&SYSTEM
  ibrav = 0, nat = 12, ntyp = 4
/
ATOMIC_SPECIES
Sm 150.36 Sm.upf
Pr 140.91 Pr.upf
Mg 24.30 Mg.upf
Nd 144.24 Nd.upf
CELL_PARAMETERS angstrom
-4.3347 3.6844 2.6600
0.0577 -6.1622 1.2102
8.6688 2.7050 7.8918
ATOMIC_POSITIONS crystal
Sm 0.5874 0.9179 0.7516
Sm 0.2480 0.2480 0.7503
Sm 0.7520 0.7520 0.2497
Pr 0.3330 0.6670 0.0000
Sm 0.9179 0.5874 0.7516
Sm 0.0821 0.4126 0.2484
Mg 0.0000 0.0000 0.0000
Nd 0.5000 0.5000 0.5000
Pr 0.6670 0.3330 0.0000
Nd 0.8334 0.1666 0.5000
Nd 0.1666 0.8334 0.5000
Sm 0.4126 0.0821 0.2484
```


Question: What is the energy in the third record?
Answer: -6.69 eV/atom